Entry from the Alexandria database: an optimized crystal structure of SmCd3 (GGA-PBE).

Cell: 4.638 4.660 4.659 Å, 90.00 90.00 90.00°
Element x y z (fractional)
Sm 0.000 0.500 0.417
Cd 0.000 0.000 0.917
Cd 0.500 0.000 0.417
Cd 0.500 0.500 0.916

crystal system = tetragonal
energy of formation = -0.25 eV per atom
mass density = 8.0 g cm⁻³
symmetry = No. 123
VASP energy = -8.48 eV/cell